# FePRhO2 GGA+U relaxed
# **Crystal system**: tetragonal
# **ΔE to the lowest computed polymorph**: 89 meV per atom
data_FePRhO2
_symmetry_space_group_name_H-M 'P 1'
_symmetry_Int_Tables_number 1
_cell_length_a 3.834
_cell_length_b 3.834
_cell_length_c 5.040
_cell_angle_alpha 90.00
_cell_angle_beta 90.00
_cell_angle_gamma 90.00
loop_
_symmetry_equiv_pos_as_xyz
'x,y,z'
loop_
_atom_site_label
_atom_site_type_symbol
_atom_site_fract_x
_atom_site_fract_y
_atom_site_fract_z
Fe1 Fe 0.000 0.000 0.000
P1 P 0.500 0.500 0.000
Rh1 Rh 0.500 0.500 0.500
O1 O 0.000 0.500 0.500
O2 O 0.500 0.000 0.500